Entry 1:
The following is a PBE-GGA calculation of a relaxed structure of NbTlRe2P, from Alexandria.

Unit cell a=4.460 b=4.460 c=4.615 alpha=90.00 beta=90.00 gamma=90.00
Space group P4/mmm (No. 123)
Unique sites:
Nb (0.000, 0.000, 0.000) [1 per cell]
Tl (0.500, 0.500, 0.000) [1 per cell]
Re (0.000, 0.500, 0.500) [2 per cell]
P (0.000, 0.000, 0.500) [1 per cell]

Results
* E_form: 692 meV per atom
* total magnetic moment: 0.000 μB per formula unit

Entry 2:
The following is a PBE-GGA calculation of a relaxed structure of TbZnNiAg, from Alexandria.

Unit cell a=6.621 b=6.621 c=6.621 alpha=90.00 beta=90.00 gamma=90.00
Space group F-43m (No. 216)
Unique sites:
Tb (0.000, 0.000, 0.000) [4 per cell]
Zn (0.000, 0.000, 0.500) [4 per cell]
Ni (0.250, 0.250, 0.250) [4 per cell]
Ag (0.250, 0.250, 0.750) [4 per cell]

Results
* E_form: -186 meV per atom
* total magnetic moment: 0.000 μB per formula unit

Entry 3:
The following is a PBE-GGA calculation of a relaxed structure of Tb3Pm5Se8, from Alexandria.

Unit cell a=8.3019 b=8.3019 c=20.4749 alpha=90.00 beta=90.00 gamma=120.00
Space group R-3m (No. 166, hexagonal axes)
Unique sites:
Tb (0.0000, 0.5000, 0.0000) [9 per cell]
Pm (0.0000, 0.0000, 0.0000) [3 per cell]
Pm (0.0000, 0.0000, 0.5000) [3 per cell]
Pm (0.0000, 0.5000, 0.5000) [9 per cell]
Se (0.0000, 0.0000, 0.2533) [6 per cell]
Se (0.0044, 0.5022, 0.2522) [18 per cell]

Results
* formation energy (no corrections): -1807 meV per atom
* total magnetic moment: 0.000 μB per formula unit

Entry 4:
The following is a PBE-GGA calculation of a relaxed structure of CaFePS2, from Alexandria.

Unit cell a=5.102 b=5.102 c=5.204 alpha=90.00 beta=90.00 gamma=90.00
Space group P4/mmm (No. 123)
Unique sites:
Ca (0.000, 0.000, 0.000) [1 per cell]
Fe (0.500, 0.500, 0.500) [1 per cell]
P (0.000, 0.000, 0.500) [1 per cell]
S (0.000, 0.500, 0.000) [2 per cell]

Results
* formation energy (no corrections): 930 meV per atom
* relative energy among the computed polymorphs: 1396.5 meV/atom
* total magnetic moment: 3.146 μB per formula unit

Entry 5:
The following is a PBE-GGA calculation of a relaxed structure of AcHoCuAg, from Alexandria.

Unit cell a=7.475 b=7.475 c=7.475 alpha=90.00 beta=90.00 gamma=90.00
Space group F-43m (No. 216)
Unique sites:
Ac (0.000, 0.000, 0.000) [4 per cell]
Ho (0.000, 0.000, 0.500) [4 per cell]
Cu (0.250, 0.250, 0.750) [4 per cell]
Ag (0.250, 0.250, 0.250) [4 per cell]

Results
* E_form: -154 meV per atom
* total magnetic moment: 0.000 μB per formula unit

Entry 6:
The following is a PBE-GGA calculation of a relaxed structure of Na2HgAs2H2, from Alexandria.

Unit cell a=9.978 b=3.613 c=8.827 alpha=90.00 beta=90.82 gamma=90.00
Space group C2/m (No. 12)
Unique sites:
Na (0.226, 0.000, 0.233) [4 per cell]
Hg (0.000, 0.500, 0.500) [2 per cell]
As (0.004, 0.500, 0.141) [4 per cell]
H (0.037, 0.000, 0.846) [4 per cell]

Results
* E: -0.1991 Ry per atom
* total magnetic moment: 0.000 μB per formula unit

Entry 7:
The following is a PBE-GGA calculation of a relaxed structure of Be2Nb2Ni, from Alexandria.

Unit cell a=3.332 b=4.883 c=7.739 alpha=90.00 beta=90.00 gamma=90.00
Space group Immm (No. 71)
Unique sites:
Be (0.000, 0.217, 0.000) [4 per cell]
Nb (0.000, 0.500, 0.285) [4 per cell]
Ni (0.000, 0.000, 0.500) [2 per cell]

Results
* E_form: -267 meV per atom
* relative energy among the computed polymorphs: 0.0 meV/atom
* total magnetic moment: 0.000 μB per formula unit

Entry 8:
The following is a PBE-GGA calculation of a relaxed structure of Cs3U3SbSe8, from Alexandria.

Unit cell a=8.4708 b=8.4708 c=25.6351 alpha=90.00 beta=90.00 gamma=120.00
Space group R-3m (No. 166, hexagonal axes)
Unique sites:
Cs (0.0000, 0.5000, 0.0000) [9 per cell]
U (0.0000, 0.5000, 0.5000) [9 per cell]
Sb (0.0000, 0.0000, 0.5000) [3 per cell]
Se (0.0000, 0.0000, 0.2289) [6 per cell]
Se (0.0038, 0.5019, 0.7718) [18 per cell]

Results
* formation energy (no corrections): -1083 meV per atom
* total magnetic moment: 8.003 μB per formula unit